Entry 1:
A relaxed structure of Ti3IrPb, computed with PBE.

Cell and atoms, written as extended XYZ:
```
5
Lattice="4.7927 0.0000 0.0000 0.0000 4.7927 0.0000 0.0000 0.0000 4.7927" Properties=species:S:1:pos:R:3 pbc="T T T"
Pb 2.3964 2.3964 2.3964
Ti 0.0000 2.3964 0.0000
Ti 0.0000 0.0000 2.3964
Ti 2.3964 0.0000 0.0000
Ir 0.0000 0.0000 0.0000
```

Computed properties:
formation energy: 95.7 meV per atom

=====

Entry 2:
A relaxed structure of MgSc2ReBr, computed with PBE.

Cell and atoms, written as extended XYZ:
```
5
Lattice="4.9343 0.0000 0.0000 0.0000 4.6477 0.0000 0.0000 0.0000 4.9343" Properties=species:S:1:pos:R:3 pbc="T T T"
Mg 2.4671 2.3239 2.4671
Sc 2.4671 0.0000 0.0000
Sc 0.0000 0.0000 2.4671
Re 0.0000 2.3239 0.0000
Br 0.0000 0.0000 0.0000
```

Computed properties:
raw formation energy: 606 meV per atom

=====

Entry 3:
A relaxed structure of ScIBr3, computed with PBE.

Cell and atoms, written as extended XYZ:
```
20
Lattice="7.6842 0.0000 0.0000 0.0000 8.0482 0.0000 0.0000 0.0000 11.6959" Properties=species:S:1:pos:R:3 pbc="T T T"
Br 1.6837 7.9058 10.2923
Br 0.8988 2.0120 7.3449
Br 6.0005 0.1424 1.4036
Br 4.7409 2.0120 10.1990
Br 2.9434 6.0361 1.4969
Br 1.6837 4.1665 10.2923
Br 6.7855 6.0361 4.3511
Br 6.0005 3.8817 1.4036
Br 2.1584 0.1424 4.4444
Br 5.5258 4.1665 7.2515
Br 2.1584 3.8817 4.4444
Br 5.5258 7.9058 7.2515
Sc 3.8421 4.0241 0.0000
Sc 0.0000 4.0241 5.8480
Sc 0.0000 0.0000 5.8480
Sc 3.8421 0.0000 0.0000
I 2.1708 2.0120 1.4401
I 5.5135 6.0361 10.2558
I 6.0129 2.0120 4.4078
I 1.6714 6.0361 7.2881
```

Computed properties:
raw formation energy: -1093 meV per atom

=====

Entry 4:
A relaxed structure of La3Sm2ScSe6, computed with PBE.

Cell and atoms, written as extended XYZ:
```
12
Lattice="-0.4475 2.6703 -3.1802 5.9330 -4.1689 -4.3354 -7.5463 -5.5109 -0.8227" Properties=species:S:1:pos:R:3 pbc="T T T"
Se -2.6435 -4.5274 -3.4296
Se -2.1560 -0.3246 -2.7119
Se 0.5827 -2.4820 -4.9088
Se -3.4118 -6.0579 -7.3492
Se 0.0952 -6.6848 -5.6265
Se 1.3510 -0.9516 -0.9891
Sm -1.4518 -4.2327 -6.0925
Sm -0.6090 -2.7768 -2.2459
Sc -0.2238 1.3352 -1.5901
La 2.3097 -4.9041 -4.4428
La 2.7427 -0.7493 -3.7578
La -4.3705 -2.1054 -3.8955
```

Computed properties:
raw formation energy: -1857 meV per atom

=====

Entry 5:
A relaxed structure of YGa3Pt5, computed with PBE.

Cell and atoms, written as extended XYZ:
```
18
Lattice="3.8780 0.0000 0.0000 -1.9390 6.6348 0.0000 0.0000 0.0000 13.1083" Properties=species:S:1:pos:R:3 pbc="T T T"
Pt 0.0000 0.0000 6.5542
Pt 0.0000 0.0000 0.0000
Pt 0.0000 2.6443 12.1496
Pt 0.0000 2.6443 7.5129
Pt 1.9390 3.9905 5.5955
Pt 1.9390 3.9905 0.9587
Pt 0.0000 6.1069 1.9421
Pt 1.9390 0.5279 8.4963
Pt 1.9390 0.5279 11.1662
Pt 0.0000 6.1069 4.6121
Ga 1.9390 4.8615 3.2771
Ga 0.0000 5.0158 7.0621
Ga 0.0000 1.7734 9.8313
Ga 1.9390 1.6190 0.5079
Ga 1.9390 1.6190 6.0463
Ga 0.0000 5.0158 12.6004
Y 1.9390 5.2506 9.8313
Y 0.0000 1.3842 3.2771
```

Computed properties:
formation energy: -686.1 meV per atom

=====

Entry 6:
A relaxed structure of CeMnBeGe2, computed with PBE.

Cell and atoms, written as extended XYZ:
```
5
Lattice="-3.5225 -1.8996 -0.0848 1.7478 -3.3050 1.4303 -0.1124 4.2335 4.3180" Properties=species:S:1:pos:R:3 pbc="T T T"
Ge -1.1318 -2.2034 1.8931
Ge -0.7553 1.2323 3.7705
Mn 0.3740 -0.8369 3.2106
Ce 0.0000 0.0000 0.0000
Be -2.2611 -0.1342 2.4530
```

Computed properties:
formation energy: -387.8 meV per atom